A geometry-optimized Li3SmPu2Se6 structure. Source: Alexandria, functional GGA-PBE.

Unit cell a=7.1680 b=12.4121 c=6.8909 alpha=90.00 beta=110.28 gamma=90.00
Space group C2/m (No. 12)
One atom of each set of equivalent atoms:
Li1 0.0000 0.0000 0.0000
Li2 0.0000 0.3332 0.0000
Sm1 0.0000 0.5000 0.5000
Pu1 0.0000 0.1666 0.5000
Se1 0.2463 0.1684 0.2445
Se2 0.2490 0.0000 0.7570

Computed properties:
- density of states at the Fermi level (states/eV/cell) = 41.9
- raw total energy (eV/f.u.) = -77.84

A geometry-optimized Li3Sm4PuSe8 structure. Source: Alexandria, functional GGA-PBE.

Unit cell a=8.2747 b=8.2747 c=20.0272 alpha=90.00 beta=90.00 gamma=120.00
Space group R-3m (No. 166, hexagonal axes)
One atom of each set of equivalent atoms:
Li1 0.0000 0.5000 0.0000
Sm1 0.0000 0.0000 0.5000
Sm2 0.0000 0.5000 0.5000
Pu1 0.0000 0.0000 0.0000
Se1 0.0000 0.0000 0.2524
Se2 0.0048 0.5024 0.2525

Computed properties:
- density of states at the Fermi level (states/eV/cell) = 47.3
- raw total energy (eV/f.u.) = -93.56

A geometry-optimized Li4Sm3PuSe8 structure. Source: Alexandria, functional GGA-PBE.

Unit cell a=8.3071 b=8.3071 c=19.5101 alpha=90.00 beta=90.00 gamma=120.00
Space group R-3m (No. 166, hexagonal axes)
One atom of each set of equivalent atoms:
Li1 0.0000 0.0000 0.0000
Li2 0.0000 0.5000 0.0000
Sm1 0.0000 0.5000 0.5000
Pu1 0.0000 0.0000 0.5000
Se1 0.0000 0.0000 0.2527
Se2 0.0014 0.5007 0.2522

Computed properties:
- density of states at the Fermi level (states/eV/cell) = 38.4
- raw total energy (eV/f.u.) = -89.57

A geometry-optimized LiSmPu2Se4 structure. Source: Alexandria, functional GGA-PBE.

Unit cell a=7.1514 b=4.1476 c=7.1560 alpha=90.00 beta=109.65 gamma=90.00
Space group P2/m (No. 10)
One atom of each set of equivalent atoms:
Li1 0.0000 0.0000 0.0000
Sm1 0.0000 0.5000 0.5000
Pu1 0.5000 0.0000 0.5000
Pu2 0.5000 0.5000 0.0000
Se1 0.2449 0.5000 0.2443
Se2 0.2483 0.0000 0.7550

Computed properties:
- density of states at the Fermi level (states/eV/cell) = 17.7
- raw total energy (eV/f.u.) = -61.85

A geometry-optimized LiSm2PuSe4 structure. Source: Alexandria, functional GGA-PBE.

Unit cell a=7.1579 b=4.1412 c=7.1618 alpha=90.00 beta=109.76 gamma=90.00
Space group P2/m (No. 10)
One atom of each set of equivalent atoms:
Li1 0.0000 0.0000 0.0000
Sm1 0.5000 0.0000 0.5000
Sm2 0.5000 0.5000 0.0000
Pu1 0.0000 0.5000 0.5000
Se1 0.2424 0.5000 0.2418
Se2 0.2436 0.0000 0.7529

Computed properties:
- density of states at the Fermi level (states/eV/cell) = 12.8
- raw total energy (eV/f.u.) = -53.03

A geometry-optimized LiSm3Pu3Se8 structure. Source: Alexandria, functional GGA-PBE.

Unit cell a=8.2760 b=8.2760 c=20.2451 alpha=90.00 beta=90.00 gamma=120.00
Space group R-3m (No. 166, hexagonal axes)
One atom of each set of equivalent atoms:
Li1 0.0000 0.0000 0.0000
Sm1 0.0000 0.5000 0.5000
Pu1 0.0000 0.5000 0.0000
Se1 0.0000 0.0000 0.2511
Se2 0.0048 0.5024 0.7481

Computed properties:
- density of states at the Fermi level (states/eV/cell) = 108.3
- raw total energy (eV/f.u.) = -111.44

A geometry-optimized LiPuSn2Se4 structure. Source: Alexandria, functional GGA-PBE.

Unit cell a=7.1106 b=4.2070 c=7.3973 alpha=90.00 beta=108.80 gamma=90.00
Space group P2/m (No. 10)
One atom of each set of equivalent atoms:
Li1 0.0000 0.0000 0.0000
Pu1 0.5000 0.5000 0.0000
Sn1 0.0000 0.5000 0.5000
Sn2 0.5000 0.0000 0.5000
Se1 0.2452 0.5000 0.2353
Se2 0.2540 0.0000 0.7677

Computed properties:
- density of states at the Fermi level (states/eV/cell) = 14.6
- raw total energy (eV/f.u.) = -45.03

A geometry-optimized Li2PuSn3Se6 structure. Source: Alexandria, functional GGA-PBE.

Unit cell a=7.1356 b=12.3653 c=7.3243 alpha=90.00 beta=108.40 gamma=90.00
Space group C2/m (No. 12)
One atom of each set of equivalent atoms:
Li1 0.0000 0.1758 0.0000
Pu1 0.0000 0.5000 0.0000
Sn1 0.0000 0.0000 0.5000
Sn2 0.0000 0.3358 0.5000
Se1 0.2428 0.3375 0.2292
Se2 0.2442 0.5000 0.7545

Computed properties:
- density of states at the Fermi level (states/eV/cell) = 21.8
- raw total energy (eV/f.u.) = -60.93

A geometry-optimized Li3Tb4PuSe8 structure. Source: Alexandria, functional GGA-PBE.

Unit cell a=8.1615 b=8.1615 c=19.9287 alpha=90.00 beta=90.00 gamma=120.00
Space group R-3m (No. 166, hexagonal axes)
One atom of each set of equivalent atoms:
Li1 0.0000 0.5000 0.0000
Tb1 0.0000 0.0000 0.5000
Tb2 0.0000 0.5000 0.5000
Pu1 0.0000 0.0000 0.0000
Se1 0.0000 0.0000 0.2511
Se2 0.0057 0.5028 0.2509

Computed properties:
- density of states at the Fermi level (states/eV/cell) = 47.4
- raw total energy (eV/f.u.) = -93.32

A geometry-optimized LiTb2PuSe4 structure. Source: Alexandria, functional GGA-PBE.

Unit cell a=7.0837 b=4.0920 c=7.1027 alpha=90.00 beta=109.66 gamma=90.00
Space group P2/m (No. 10)
One atom of each set of equivalent atoms:
Li1 0.0000 0.0000 0.0000
Tb1 0.0000 0.5000 0.5000
Tb2 0.5000 0.0000 0.5000
Pu1 0.5000 0.5000 0.0000
Se1 0.2428 0.5000 0.2476
Se2 0.2446 0.0000 0.7508

Computed properties:
- density of states at the Fermi level (states/eV/cell) = 12.7
- raw total energy (eV/f.u.) = -52.83

A geometry-optimized Li2TbPuSe4 structure. Source: Alexandria, functional GGA-PBE.

Unit cell a=6.8961 b=4.1145 c=7.1238 alpha=90.00 beta=110.28 gamma=90.00
Space group P2/m (No. 10)
One atom of each set of equivalent atoms:
Li1 0.0000 0.0000 0.0000
Li2 0.0000 0.5000 0.5000
Tb1 0.5000 0.0000 0.5000
Pu1 0.5000 0.5000 0.0000
Se1 0.2442 0.5000 0.2507
Se2 0.2462 0.0000 0.7473

Computed properties:
- density of states at the Fermi level (states/eV/cell) = 12.2
- raw total energy (eV/f.u.) = -49.00